Compound: MnVO2F5
Source: Alexandria via LeMat-Bulk
Functional: GGA+U
Structure: relaxed

The structure in CIF format:
```
data_MnVO2F5
_chemical_formula_sum 'Mn4 V4 O8 F20'
_space_group_name_H-M_alt 'I m m a'
_space_group_IT_number 74
_space_group_name_Hall '-I 2b 2'
_cell_length_a 7.4086
_cell_length_b 11.4838
_cell_length_c 6.4903
_cell_angle_alpha 90.00
_cell_angle_beta 90.00
_cell_angle_gamma 90.00
loop_
_atom_site_label
_atom_site_fract_x
_atom_site_fract_y
_atom_site_fract_z
_atom_site_occupancy
Mn1 0.0000 0.0000 0.0000 1
V1 0.2500 0.2500 0.2500 1
O1 0.0000 0.0378 0.7508 1
F1 0.0000 0.2500 0.3480 1
F2 0.1935 0.1343 0.0610 1
```

## Properties
Total DFT energy (no corrections) ... -201.864 eV per cell